1.
The following is a PBE-GGA calculation of a relaxed CdRhCl crystal, from Alexandria via LeMat-Bulk.

The energy above the most stable polymorph in this dataset is 0.198 eV per formula unit.

The structure belongs to space group I4mm (No. 107); the cell edges are 3.1376, 3.1376 and 11.3459 Å and the angles 90.00°, 90.00° and 90.00°. Symmetry generates all atoms from Cd at (0.0000, 0.0000, 0.0000), Rh at (0.0000, 0.0000, 0.3495) and Cl at (0.0000, 0.0000, 0.6998).

2.
The following is a PBE-GGA calculation of a relaxed Cd4RhCl crystal, from Alexandria via LeMat-Bulk.

The structure belongs to space group F-43m (No. 216); the cell edges are 8.0342, 8.0342 and 8.0342 Å and the angles 90.00°, 90.00° and 90.00°. Symmetry generates all atoms from Cd at (0.1244, 0.1244, 0.3756), Rh at (0.2500, 0.2500, 0.7500) and Cl at (0.0000, 0.0000, 0.0000).

3.
The following is a PBE-GGA calculation of a relaxed Cd2RhCl crystal, from Alexandria via LeMat-Bulk.

The energy above the most stable polymorph in this dataset is 2.112 eV per formula unit.

The structure belongs to space group Fm-3m (No. 225); the cell edges are 6.8048, 6.8048 and 6.8048 Å and the angles 90.00°, 90.00° and 90.00°. Symmetry generates all atoms from Cd at (0.2500, 0.2500, 0.2500), Rh at (0.0000, 0.0000, 0.0000) and Cl at (0.0000, 0.0000, 0.5000).

4.
The following is a PBE-GGA calculation of a relaxed CdRhSCl2 crystal, from Alexandria via LeMat-Bulk.

The energy above the most stable polymorph in this dataset is 0.000 eV per formula unit.

The structure belongs to space group P4/mmm (No. 123); the cell edges are 4.8363, 4.8363 and 4.6468 Å and the angles 90.00°, 90.00° and 90.00°. Symmetry generates all atoms from Cd at (0.0000, 0.0000, 0.0000), Rh at (0.5000, 0.5000, 0.5000), S at (0.5000, 0.5000, 0.0000) and Cl at (0.0000, 0.5000, 0.5000).

5.
The following is a PBE-GGA calculation of a relaxed CdRhSCl2 crystal, from Alexandria via LeMat-Bulk.

The energy above the most stable polymorph in this dataset is 3.341 eV per formula unit.

The structure belongs to space group P4/mmm (No. 123); the cell edges are 5.0540, 5.0540 and 5.1381 Å and the angles 90.00°, 90.00° and 90.00°. Symmetry generates all atoms from Cd at (0.0000, 0.0000, 0.0000), Rh at (0.5000, 0.5000, 0.5000), S at (0.0000, 0.0000, 0.5000) and Cl at (0.0000, 0.5000, 0.0000).

6.
The following is a PBE-GGA calculation of a relaxed CdSiRhCl2 crystal, from Alexandria via LeMat-Bulk.

The structure belongs to space group P4/mmm (No. 123); the cell edges are 4.6310, 4.6310 and 5.5457 Å and the angles 90.00°, 90.00° and 90.00°. Symmetry generates all atoms from Cd at (0.0000, 0.0000, 0.0000), Si at (0.5000, 0.5000, 0.0000), Rh at (0.0000, 0.0000, 0.5000) and Cl at (0.0000, 0.5000, 0.5000).

7.
The following is a PBE-GGA calculation of a relaxed TlCd2RhCl crystal, from Alexandria via LeMat-Bulk.

The structure belongs to space group P4/mmm (No. 123); the cell edges are 5.2738, 5.2738 and 4.9212 Å and the angles 90.00°, 90.00° and 90.00°. Symmetry generates all atoms from Tl at (0.0000, 0.0000, 0.0000), Cd at (0.0000, 0.5000, 0.5000), Rh at (0.5000, 0.5000, 0.5000) and Cl at (0.5000, 0.5000, 0.0000).

8.
The following is a PBE-GGA calculation of a relaxed YCdRh2Cl crystal, from Alexandria via LeMat-Bulk.

The structure belongs to space group P4/mmm (No. 123); the cell edges are 5.0440, 5.0440 and 5.0933 Å and the angles 90.00°, 90.00° and 90.00°. Symmetry generates all atoms from Y at (0.0000, 0.0000, 0.0000), Cd at (0.5000, 0.5000, 0.5000), Rh at (0.0000, 0.5000, 0.0000) and Cl at (0.0000, 0.0000, 0.5000).

Values of ΔE_f (raw), in order: 73; 266; 214; -140; 528; 403; -4; 337, all in meV per atom.
Values of magnetization, in order: 1.10; 0.00; 0.00; 0.00; 2.92; 0.00; 0.00; 0.00, all in μB per cell.
Values of E_tot, in order: -19.8; -45.0; -40.7; -16.8; -13.4; -15.4; -13.4; -22.2, all in eV/cell.